Material: Sn2PdPt7Pb2
Method: DFT, GGA-PBE
State: optimized geometry

Summary:
Energy of formation from the pure elements in eV per atom: -0.227

a b c (Å): 3.9258 3.9258 16.7241
angles (deg): 83.21 83.21 89.98
With the nearest neighbours (Å) after each atom.
Atoms (fractional coordinates):
Sn  0.6184  0.6184  0.7634  5 Pt 2.62-2.69
Sn  0.3816  0.3816  0.2366  5 Pt 2.62-2.69
Pd  0.0000  0.0000  0.0000  12 Pt 2.78-2.85
Pt  0.5000  0.5000  0.0000  4 Pd 2.78, 8 Pt 2.84-2.85
Pt  0.3022  0.3022  0.3952  1 Sn 2.62, 4 Pb 2.82-2.83
Pt  0.6978  0.6978  0.6048  1 Sn 2.62, 4 Pb 2.82-2.83
Pt  0.9379  0.4381  0.1248  2 Sn 2.69, 6 Pt 2.77-2.85, 2 Pd 2.84-2.85
Pt  0.4381  0.9379  0.1248  2 Sn 2.69, 6 Pt 2.77-2.85, 2 Pd 2.84-2.85
Pt  0.5619  0.0621  0.8752  2 Sn 2.69, 6 Pt 2.77-2.85, 2 Pd 2.84-2.85
Pt  0.0621  0.5619  0.8752  2 Sn 2.69, 6 Pt 2.77-2.85, 2 Pd 2.84-2.85
Pb  0.7865  0.7865  0.4270  5 Pt 2.82-2.93
Pb  0.2135  0.2135  0.5730  5 Pt 2.82-2.93

---

Material: Sr2NbSb
Method: DFT, GGA-PBE
State: optimized geometry

Summary:
ΔE_f (raw) in kcal/mol of atoms: 12.02

a b c (Å): 9.0346 9.0346 7.1553
angles (deg): 50.85 50.85 90.00
With the nearest neighbours (Å) after each atom.
Atoms (fractional coordinates):
Sb  0.0000  0.0000  0.0000  2 Nb 3.22, 4 Sr 3.24
Sb  0.7500  0.2500  0.5000  2 Nb 3.22, 4 Sr 3.24
Nb  0.5000  0.5000  0.0000  2 Sb 3.22, 4 Sr 3.35
Nb  0.2500  0.7500  0.5000  2 Sb 3.22, 4 Sr 3.35
Sr  0.6338  0.1250  0.2500  2 Sr 3.23, 2 Sb 3.24, 2 Nb 3.35
Sr  0.1162  0.6250  0.2500  2 Sr 3.23, 2 Sb 3.24, 2 Nb 3.35
Sr  0.3750  0.3662  0.7500  2 Sr 3.23, 2 Sb 3.24, 2 Nb 3.35
Sr  0.8750  0.8838  0.7500  2 Sr 3.23, 2 Sb 3.24, 2 Nb 3.35

---

Material: Ho4HgBi
Method: DFT, GGA-PBE
State: optimized geometry

Summary:
Energy of formation from the pure elements in eV per atom: -0.365

a b c (Å): 6.5310 9.0938 7.8629
angles (deg): 113.58 99.62 115.41
With the nearest neighbours (Å) after each atom.
Atoms (fractional coordinates):
Ho  0.1092  0.2038  0.8080  2 Hg 3.16-3.27, 2 Bi 3.23, 2 Ho 3.43-3.47
Ho  0.7697  0.7158  0.6211  2 Hg 3.07-3.09, 1 Bi 3.23, 2 Ho 3.37-3.43
Ho  0.1988  0.6041  0.8080  2 Hg 3.16-3.27, 2 Bi 3.23, 2 Ho 3.43-3.47
Ho  0.3514  0.9053  0.6211  2 Hg 3.07-3.09, 1 Bi 3.23, 2 Ho 3.37-3.43
Ho  0.6486  0.0947  0.3789  2 Hg 3.07-3.09, 1 Bi 3.23, 2 Ho 3.37-3.43
Ho  0.8012  0.3959  0.1920  2 Hg 3.16-3.27, 2 Bi 3.23, 2 Ho 3.43-3.47
Ho  0.2303  0.2842  0.3789  2 Hg 3.07-3.09, 1 Bi 3.23, 2 Ho 3.37-3.43
Ho  0.8908  0.7962  0.1920  2 Hg 3.16-3.27, 2 Bi 3.23, 2 Ho 3.43-3.47
Hg  0.2558  0.0058  0.0115  8 Ho 3.07-3.27, 2 Hg 3.27
Hg  0.7442  0.9942  0.9885  8 Ho 3.07-3.27, 2 Hg 3.27
Bi  0.3618  0.6118  0.2235  8 Ho 3.23-3.49
Bi  0.6382  0.3882  0.7765  8 Ho 3.23-3.49

---

Material: SmHo2Te
Method: DFT, GGA-PBE
State: optimized geometry

Summary:
ΔE_f (raw) in kcal/mol of atoms: -12.08
Excess energy over the best structure of this formula in the dataset in meV per atom: 128

a b c (Å): 3.8786 3.8786 10.0930
angles (deg): 78.92 78.92 60.00
With the nearest neighbours (Å) after each atom.
Atoms (fractional coordinates):
Sm  0.4998  0.4998  0.5006  6 Ho 3.59-3.60, 6 Sm 3.88
Ho  0.0715  0.0715  0.7855  3 Te 3.08
Ho  0.2621  0.2621  0.2138  3 Te 3.07
Te  0.6667  0.6667  0.0000  6 Ho 3.07-3.08

---

Material: Tm3TeSe3
Method: DFT, GGA-PBE
State: optimized geometry

Summary:
ΔE_f (raw) in kcal/mol of atoms: -36.21

a b c (Å): 8.1629 8.1629 8.2893
angles (deg): 60.50 60.50 60.00
With the nearest neighbours (Å) after each atom.
Atoms (fractional coordinates):
Tm  0.3000  0.5197  0.2877  4 Se 2.75-2.89
Tm  0.8926  0.3000  0.2877  4 Se 2.75-2.89
Tm  0.5197  0.8926  0.2877  4 Se 2.75-2.89
Tm  0.4803  0.1074  0.7123  4 Se 2.75-2.89
Tm  0.1074  0.7000  0.7123  4 Se 2.75-2.89
Tm  0.7000  0.4803  0.7123  4 Se 2.75-2.89
Te  0.3276  0.3276  0.0173  6 Tm 3.19-3.21
Te  0.6724  0.6724  0.9827  6 Tm 3.19-3.21
Se  0.3665  0.8395  0.6878  4 Tm 2.75-2.89
Se  0.8395  0.1062  0.6878  4 Tm 2.75-2.89
Se  0.1062  0.3665  0.6878  4 Tm 2.75-2.89
Se  0.8938  0.6335  0.3122  4 Tm 2.75-2.89
Se  0.1605  0.8938  0.3122  4 Tm 2.75-2.89
Se  0.6335  0.1605  0.3122  4 Tm 2.75-2.89

---

Material: Na5Ca2AlP4O16
Method: DFT, GGA-PBE
State: optimized geometry

Summary:
ΔE_f (raw) in kcal/mol of atoms: -58.31

a b c (Å): 9.0132 9.0132 10.6351
angles (deg): 107.83 107.83 102.91
With the nearest neighbours (Å) after each atom.
Atoms (fractional coordinates):
Na  0.3225  0.5794  0.4454  5 O 2.33-2.51
Na  0.7497  0.7724  0.6205  5 O 2.39-2.65
Na  0.5794  0.3225  0.9454  5 O 2.33-2.51
Na  0.2439  0.8890  0.2769  5 O 2.41-2.65
Na  0.0744  0.8139  0.4871  5 O 2.35-2.59
Na  0.8139  0.0744  0.9871  5 O 2.35-2.59
Na  0.2672  0.2811  0.6303  5 O 2.42-2.67
Na  0.7724  0.7497  0.1205  5 O 2.39-2.65
Na  0.2811  0.2672  0.1303  5 O 2.42-2.67
Na  0.8890  0.2439  0.7769  5 O 2.41-2.65
Ca  0.8011  0.0154  0.4320  6 O 2.33-2.44
Ca  0.0154  0.8011  0.9320  6 O 2.33-2.44
Ca  0.3287  0.5482  0.9675  5 O 2.31-2.43
Ca  0.5482  0.3287  0.4675  5 O 2.31-2.43
Al  0.9251  0.4090  0.3317  4 O 1.74-1.78
Al  0.4090  0.9251  0.8317  4 O 1.74-1.78
P  0.9689  0.4708  0.6305  4 O 1.54-1.60
P  0.5034  0.0142  0.6053  4 O 1.54-1.61
P  0.1302  0.0669  0.7848  4 O 1.54-1.60
P  0.6422  0.5551  0.2893  4 O 1.54-1.59
P  0.5551  0.6422  0.7893  4 O 1.54-1.59
P  0.4708  0.9689  0.1305  4 O 1.54-1.60
P  0.0669  0.1302  0.2848  4 O 1.54-1.60
P  0.0142  0.5034  0.1053  4 O 1.54-1.61
O  0.1724  0.4789  0.0906  1 P 1.54
O  0.9192  0.2029  0.2607  1 P 1.60, 1 Al 1.76
O  0.2324  0.2745  0.3874  1 P 1.54
O  0.9053  0.6085  0.6931  1 P 1.54
O  0.4789  0.1724  0.5906  1 P 1.54
O  0.5347  0.0399  0.7692  1 P 1.61, 1 Al 1.78
O  0.5375  0.5662  0.6326  1 P 1.54
O  0.5116  0.0429  0.0214  1 P 1.60, 1 Al 1.78
O  0.1014  0.4500  0.7484  1 P 1.54
O  0.5110  0.5089  0.8473  1 P 1.54
O  0.9944  0.6629  0.0873  1 P 1.55
O  0.7768  0.7297  0.3892  1 P 1.55
O  0.2745  0.2324  0.8874  1 P 1.54
O  0.4181  0.7261  0.7885  1 P 1.59, 1 Al 1.74
O  0.0223  0.9999  0.3466  1 P 1.55
O  0.5662  0.5375  0.1326  1 P 1.54
O  0.9999  0.0223  0.8466  1 P 1.55
O  0.7297  0.7768  0.8892  1 P 1.55
O  0.0429  0.5116  0.5214  1 P 1.60, 1 Al 1.78
O  0.8200  0.3011  0.5392  1 P 1.57
O  0.0439  0.0656  0.6346  1 P 1.54
O  0.6085  0.9053  0.1931  1 P 1.54
O  0.3011  0.8200  0.0392  1 P 1.57
O  0.6629  0.9944  0.5873  1 P 1.55
O  0.2029  0.9192  0.7607  1 P 1.60, 1 Al 1.76
O  0.7261  0.4181  0.2885  1 P 1.59, 1 Al 1.74
O  0.8586  0.3479  0.0015  1 P 1.54
O  0.0656  0.0439  0.1346  1 P 1.54
O  0.3479  0.8586  0.5015  1 P 1.54
O  0.4500  0.1014  0.2484  1 P 1.54
O  0.0399  0.5347  0.2692  1 P 1.61, 1 Al 1.78
O  0.5089  0.5110  0.3473  1 P 1.54

---

Material: ZnCu2Au
Method: DFT, GGA-PBE
State: optimized geometry

Summary:
Energy of formation from the pure elements in eV per atom: 0.008

a b c (Å): 8.6498 8.6498 8.6498
angles (deg): 18.67 18.67 18.67
With the nearest neighbours (Å) after each atom.
Atoms (fractional coordinates):
Au  0.7500  0.7500  0.7500  6 Cu 2.76, 6 Au 2.81
Cu  0.9958  0.9958  0.9958  3 Zn 2.59, 3 Au 2.76, 6 Cu 2.81
Cu  0.5042  0.5042  0.5042  3 Zn 2.59, 3 Au 2.76, 6 Cu 2.81
Zn  0.2500  0.2500  0.2500  6 Cu 2.59, 6 Zn 2.81

---

Material: CsSn2Os4
Method: DFT, GGA-PBE
State: optimized geometry

Summary:
Energy of formation from the pure elements in eV per atom: 2.896

a b c (Å): 5.0022 5.0022 7.6681
angles (deg): 70.96 70.96 90.00
With the nearest neighbours (Å) after each atom.
Atoms (fractional coordinates):
Cs  0.0000  0.0000  0.0000  6 Os 2.50-2.70
Os  0.8015  0.8015  0.3971  1 Sn 2.55, 1 Cs 2.70
Os  0.1985  0.1985  0.6029  1 Sn 2.55, 1 Cs 2.70
Os  0.0000  0.5000  0.0000  2 Cs 2.50
Os  0.5000  0.0000  0.0000  2 Cs 2.50
Sn  0.6142  0.6142  0.7715  1 Os 2.55
Sn  0.3858  0.3858  0.2285  1 Os 2.55

---

Material: LiPrTl2O4
Method: DFT, GGA-PBE
State: optimized geometry

Summary:
ΔE_f (raw) in kcal/mol of atoms: -35.27

a b c (Å): 3.5092 6.2650 11.7708
angles (deg): 90.00 90.00 106.26
With the nearest neighbours (Å) after each atom.
Atoms (fractional coordinates):
Li  0.7986  0.5972  0.7500  4 O 1.99-2.18
Li  0.2014  0.4028  0.2500  4 O 1.99-2.18
Pr  0.0743  0.1485  0.7500  6 O 2.43-2.68
Pr  0.9257  0.8515  0.2500  6 O 2.43-2.68
Tl  0.3690  0.7379  0.5436  4 O 2.27-2.47
Tl  0.6310  0.2621  0.0436  4 O 2.27-2.47
Tl  0.6310  0.2621  0.4564  4 O 2.27-2.47
Tl  0.3690  0.7379  0.9564  4 O 2.27-2.47
O  0.3311  0.6623  0.1456  1 Li 1.99
O  0.6689  0.3377  0.6456  1 Li 1.99
O  0.6689  0.3377  0.8544  1 Li 1.99
O  0.3311  0.6623  0.3544  1 Li 1.99
O  0.0000  0.0000  0.5000  4 Tl 2.41
O  0.0000  0.0000  0.0000  4 Tl 2.41
O  0.4061  0.8123  0.7500  2 Li 2.18
O  0.5939  0.1877  0.2500  2 Li 2.18

---

no.,M_tot (Bohr magnetons per cell)
1,0.00
2,6.96
3,0.00
4,0.01
5,0.00
6,0.00
7,0.00
8,4.67
9,0.00